# 1
A crystal of SrRe2Se relaxed with PBEsol, computed with meta-GGA SCAN.

formation energy (no corrections): 281 meV per atom
density of states at the Fermi level: 1.01 states/eV per atom
calculated volume: 19.033 Å³ per atom
crystal system: tetragonal
symmetry: P4mm, No. 99

a = 3.133 Å, b = 3.133 Å, c = 7.755 Å
α = 90.00°, β = 90.00°, γ = 90.00°
Atoms (fractional coordinates):
Se (0.000, 0.000, 0.452)
Re (0.500, 0.500, 0.235)
Re (0.000, 0.000, 0.059)
Sr (0.500, 0.500, 0.755)


# 2
A crystal of Sr2ReTeSe relaxed with PBEsol, computed with meta-GGA SCAN.

formation energy (no corrections): -344 meV per atom
density of states at the Fermi level: 0.71 states/eV per atom
calculated volume: 31.202 Å³ per atom
crystal system: tetragonal
symmetry: P4/mmm, No. 123

a = 4.523 Å, b = 5.873 Å, c = 5.873 Å
α = 90.00°, β = 90.00°, γ = 90.00°
Atoms (fractional coordinates):
Se (0.000, 0.000, 0.000)
Sr (0.000, 0.500, 0.000)
Sr (0.000, 0.000, 0.500)
Te (0.500, 0.500, 0.500)
Re (0.500, 0.000, 0.000)


# 3
A crystal of Ta2ReSe2 relaxed with PBEsol, computed with meta-GGA SCAN.

formation energy (no corrections): 503 meV per atom
density of states at the Fermi level: 0.76 states/eV per atom
calculated volume: 17.596 Å³ per atom
crystal system: tetragonal
symmetry: I4/mmm, No. 139

a = 3.594 Å, b = 3.594 Å, c = 7.271 Å
α = 104.31°, β = 104.31°, γ = 90.00°
Atoms (fractional coordinates):
Se (0.250, 0.750, 0.500)
Se (0.750, 0.250, 0.500)
Ta (0.397, 0.397, 0.794)
Ta (0.603, 0.603, 0.206)
Re (0.000, 0.000, 0.000)


# 4
A crystal of Ta2ReSe relaxed with PBEsol, computed with meta-GGA SCAN.

formation energy (no corrections): 29 meV per atom
density of states at the Fermi level: 0.54 states/eV per atom
calculated volume: 16.378 Å³ per atom
crystal system: monoclinic
symmetry: C2/m, No. 12

a = 3.123 Å, b = 4.650 Å, c = 4.650 Å
α = 101.69°, β = 94.92°, γ = 94.92°
Atoms (fractional coordinates):
Ta (0.000, 0.000, 0.500)
Ta (0.000, 0.500, 0.000)
Re (0.500, 0.500, 0.500)
Se (0.500, 0.000, 0.000)


| no. | size of the total moment (μB/f.u.) |
| --- | --- |
| 1 | 0.0 |
| 2 | 1.2 |
| 3 | 0.0 |
| 4 | 0.0 |